# MnNbIO2, relaxed, DFT PBE+U
data_MnNbIO2
_chemical_formula_sum 'Mn1 Nb1 I1 O2'
_symmetry_space_group_name_H-M 'P 4/m m m'
_symmetry_Int_Tables_number 123
_symmetry_space_group_name_Hall '-P 4 2'
_cell_length_a 3.967
_cell_length_b 3.967
_cell_length_c 5.596
_cell_angle_alpha 90.00
_cell_angle_beta 90.00
_cell_angle_gamma 90.00
loop_
_atom_site_label
_atom_site_type_symbol
_atom_site_fract_x
_atom_site_fract_y
_atom_site_fract_z
Mn1 Mn 0.000 0.000 0.000
Nb1 Nb 0.500 0.500 0.500
I1 I 0.000 0.000 0.500
O1 O 0.000 0.500 0.000
# * electronic total energy: -5.79 eV per atom
# * ΔE to the lowest computed polymorph: 946 meV per atom